Record 1
Re3W: relaxed, PBE-GGA.

abc: 5.1189 5.1189 16.6560
angles: 90.00 90.00 120.00
Space group P6_3/mmc (No. 194)
Unique sites:
Re1 0.0000 0.0000 0.0933
Re2 0.1590 0.3180 0.2500
Re3 0.3333 0.6667 0.1289
Re4 0.3333 0.6667 0.6596
W1 0.0000 0.5000 0.0000

Calculated values
Total magnetic moment   0.000 μB per atom


Record 2
Re2W11: relaxed, PBE-GGA.

abc: 5.1623 5.1623 27.8859
angles: 90.00 90.00 120.00
Space group R-3m (No. 166, hexagonal axes)
Unique sites:
Re1 0.0000 0.0000 0.0439
W1 0.0000 0.0000 0.1544
W2 0.0000 0.0000 0.3328
W3 0.0000 0.0000 0.5000
W4 0.0018 0.5009 0.9127

Calculated values
Total magnetic moment   0.001 μB per atom


Record 3
Re9W4: relaxed, PBE-GGA.

abc: 5.0823 5.0823 27.3875
angles: 90.00 90.00 120.00
Space group R-3m (No. 166, hexagonal axes)
Unique sites:
Re1 0.0000 0.0000 0.0000
Re2 0.0000 0.0000 0.3482
Re3 0.0049 0.5025 0.4104
W1 0.0000 0.0000 0.1665
W2 0.0000 0.0000 0.4535

Calculated values
Total magnetic moment   0.000 μB per atom


Record 4
Re4W9: relaxed, PBE-GGA.

abc: 5.1512 5.1512 27.6619
angles: 90.00 90.00 120.00
Space group R-3m (No. 166, hexagonal axes)
Unique sites:
Re1 0.0000 0.0000 0.0451
Re2 0.0000 0.0000 0.3330
W1 0.0000 0.0000 0.1540
W2 0.0000 0.0000 0.5000
W3 0.0018 0.5009 0.9137

Calculated values
Total magnetic moment   0.001 μB per atom


Record 5
Re16W13: relaxed, PBE-GGA.

abc: 9.710 9.710 9.710
angles: 90.00 90.00 90.00
Space group I-43m (No. 217)
Unique sites:
Re1 0.051 0.362 0.638
Re2 0.184 0.184 0.184
W1 0.000 0.000 0.000
W2 0.093 0.093 0.714

Calculated values
Total magnetic moment   0.001 μB per atom


Record 6
Re2W: relaxed, PBE-GGA.

abc: 11.117 11.117 11.117
angles: 90.00 90.00 90.00
Space group Fd-3m (No. 227, origin choice 2)
Unique sites:
Re1 0.000 0.000 0.000
W1 0.125 0.125 0.125

Calculated values
Total magnetic moment   1.626 μB per atom


Record 7
Re2W: relaxed, PBE-GGA.

abc: 9.588 9.588 5.079
angles: 90.00 90.00 90.00
Space group P4_2/mnm (No. 136)
Unique sites:
Re1 0.036 0.361 0.000
Re2 0.097 0.097 0.000
Re3 0.186 0.814 0.248
W1 0.000 0.000 0.500
W2 0.062 0.265 0.500

Calculated values
Total magnetic moment   0.000 μB per atom


Record 8
Re11W4: relaxed, PBE-GGA.

abc: 9.604 9.604 5.001
angles: 90.00 90.00 90.00
Space group P4_2/mnm (No. 136)
Unique sites:
Re1 0.000 0.000 0.000
Re2 0.067 0.260 0.000
Re3 0.099 0.099 0.500
Re4 0.182 0.818 0.251
W1 0.037 0.366 0.500

Calculated values
Total magnetic moment   0.000 μB per atom


Record 9
Re4W25: relaxed, PBE-GGA.

abc: 9.836 9.836 9.836
angles: 90.00 90.00 90.00
Space group I-43m (No. 217)
Unique sites:
Re1 0.181 0.181 0.181
W1 0.000 0.000 0.000
W2 0.050 0.361 0.639
W3 0.094 0.094 0.715

Calculated values
Total magnetic moment   0.000 μB per atom


Record 10
YRe2W: relaxed, PBE-GGA.

abc: 6.487 6.487 6.487
angles: 90.00 90.00 90.00
Space group F-43m (No. 216)
Unique sites:
Y1 0.000 0.000 0.000
Re1 0.000 0.000 0.500
Re2 0.250 0.250 0.250
W1 0.250 0.250 0.750

Calculated values
Total magnetic moment   0.001 μB per atom


Record 11
ZnReW2: relaxed, PBE-GGA.

abc: 6.259 6.259 6.259
angles: 90.00 90.00 90.00
Space group F-43m (No. 216)
Unique sites:
Zn1 0.000 0.000 0.000
Re1 0.250 0.250 0.250
W1 0.000 0.000 0.500
W2 0.250 0.250 0.750

Calculated values
Total magnetic moment   0.001 μB per atom


Record 12
ZrReW: relaxed, PBE-GGA.

abc: 5.378 5.380 7.513
angles: 90.00 90.00 90.00
Space group Imma (No. 74)
Unique sites:
Zr1 0.000 0.250 0.123
Re1 0.250 0.250 0.750
W1 0.000 0.000 0.500

Calculated values
Total magnetic moment   0.000 μB per atom


no.,formation energy from the elements (eV/f.u.)
1,1.39
2,4.10
3,2.37
4,4.40
5,6.22
6,12.87
7,0.52
8,0.88
9,9.34
10,1.45
11,1.29
12,-0.79